(1)
ZrSc2Se4 | Alexandria | PBE | optimized geometry; magnetic moment = 0.00 μB per formula unit; formation energy from raw total energies = -1.556 eV/atom
1.0
7.129 -1.925 0.000
7.129 1.925 0.000
-3.154 0.000 6.002
Zr Sc Se
1 2 4
Direct
0.000 0.000 0.000
0.253 0.253 0.236
0.747 0.747 0.764
0.122 0.122 0.790
0.372 0.372 0.704
0.628 0.628 0.296
0.878 0.878 0.210



(2)
ScSi | Alexandria | PBE | optimized geometry; magnetic moment = 0.00 μB per formula unit; formation energy from raw total energies = -0.515 eV/atom
1.0
-2.039 4.908 2.760
2.039 -4.908 2.760
2.039 4.908 -2.760
Sc Si
3 3
Direct
0.000 0.000 0.000
0.550 0.250 0.301
0.949 0.250 0.699
0.119 0.744 0.375
0.370 0.744 0.625
0.509 0.509 0.000



(3)
Sc5Si3 | Alexandria | PBE | optimized geometry; magnetic moment = 1.10 μB per formula unit; formation energy from raw total energies = -0.290 eV/atom; E above lowest polymorph = 3.82 eV per formula unit
1.0
8.359 0.000 0.000
-4.180 7.239 0.000
0.000 0.000 5.553
Sc Si
10 6
Direct
0.000 0.255 0.250
0.000 0.745 0.750
0.255 0.000 0.250
0.255 0.255 0.750
0.333 0.667 0.250
0.333 0.667 0.750
0.667 0.333 0.250
0.667 0.333 0.750
0.745 0.000 0.750
0.745 0.745 0.250
0.000 0.373 0.750
0.000 0.627 0.250
0.373 0.000 0.750
0.373 0.373 0.250
0.627 0.000 0.250
0.627 0.627 0.750



(4)
ScSi | Alexandria | PBE | optimized geometry; magnetic moment = 0.00 μB per formula unit; formation energy from raw total energies = -0.307 eV/atom
1.0
4.031 0.000 0.000
-2.016 3.491 0.000
0.000 0.000 11.174
Sc Si
4 4
Direct
0.333 0.667 0.108
0.333 0.667 0.392
0.667 0.333 0.608
0.667 0.333 0.892
0.000 0.000 0.250
0.000 0.000 0.750
0.333 0.667 0.750
0.667 0.333 0.250



(5)
ScSi | Alexandria | PBE | optimized geometry; magnetic moment = 0.21 μB per formula unit; formation energy from raw total energies = -0.450 eV/atom
1.0
4.980 0.000 0.000
0.000 4.980 0.000
0.000 0.000 2.907
Sc Si
2 2
Direct
0.250 0.250 0.048
0.750 0.750 0.952
0.250 0.750 0.500
0.750 0.250 0.500



(6)
ScSi | Alexandria | PBE | optimized geometry; magnetic moment = 0.00 μB per formula unit; formation energy from raw total energies = -0.532 eV/atom
1.0
2.991 0.000 0.000
0.000 2.991 0.000
0.000 0.000 3.912
Sc Si
1 1
Direct
0.000 0.000 0.000
0.500 0.500 0.500